PbAuBr5 (GGA-PBE, optimized geometry); calculated volume = 516.77 Å³ per cell; electronic total energy = -2.62 eV/atom; formation energy from raw total energies = -0.431 eV/atom; energy relative to the lowest polymorph listed for this composition = 21 meV/atom
1.0
7.211 -0.072 1.926
2.219 6.862 1.926
6.218 4.477 12.950
Au Br Pb
2 10 2
direct
0.000 0.000 0.500
0.000 0.000 0.000
0.632 0.165 0.520
0.392 0.180 0.836
0.835 0.368 0.980
0.165 0.632 0.020
0.028 0.972 0.250
0.180 0.392 0.336
0.972 0.028 0.750
0.820 0.608 0.664
0.368 0.835 0.480
0.608 0.820 0.164
0.707 0.293 0.250
0.293 0.707 0.750